PaVPt2O8: relaxed, GGA+U.

- DOS(E_F) (states/eV per cell) = 5.4
- SG = No. 119
- raw total energy (eV per atom) = -7.037
- volume (Å³/cell) = 157

Lattice parameters (Å, degrees): 5.886 5.886 5.886 110.14 110.14 108.14
Fractional coordinates of all 12 atoms:
Pa 0.000 0.000 0.000
V 0.250 0.750 0.500
Pt 0.500 0.500 0.000
Pt 0.750 0.250 0.500
O 0.282 0.093 0.811
O 0.282 0.470 0.189
O 0.348 0.015 0.333
O 0.530 0.718 0.811
O 0.683 0.015 0.667
O 0.907 0.718 0.189
O 0.985 0.317 0.333
O 0.985 0.652 0.667